[1]
{"formula": "TiMoRh", "functional": "PBE", "state": "relaxed", "lattice": [[2.7891, 0.0000, 0.0000], [0.7784, 4.9704, 0.0000], [0.4599, 1.6749, 6.6423]], "species": ["Ti", "Ti", "Mo", "Mo", "Rh", "Rh"], "fractional_positions": [[0.0000, 0.0000, 0.0000], [0.3188, 0.3766, 0.6423], [0.0935, 0.2613, 0.2966], [0.8332, 0.9006, 0.6386], [0.5384, 0.5198, 0.9558], [0.5720, 0.7423, 0.3268]], "de_polymorph_mev_per_atom": 101.1, "dos_at_fermi_per_ev_atom": 0.864, "ef_ev_per_atom": -0.296, "total_magnetization_mub_per_atom": 0.0000}

[2]
{"formula": "Ti2MoRh9", "functional": "PBE", "state": "relaxed", "lattice": [[3.8549, 0.0000, 0.0000], [0.0000, 3.8549, 0.0000], [0.0000, 0.0000, 11.5878]], "species": ["Ti", "Ti", "Mo", "Rh", "Rh", "Rh", "Rh", "Rh", "Rh", "Rh", "Rh", "Rh"], "fractional_positions": [[0.0000, 0.0000, 0.1623], [0.0000, 0.0000, 0.8377], [0.0000, 0.0000, 0.5000], [0.0000, 0.5000, 0.0000], [0.0000, 0.5000, 0.3355], [0.0000, 0.5000, 0.6645], [0.5000, 0.0000, 0.0000], [0.5000, 0.0000, 0.3355], [0.5000, 0.0000, 0.6645], [0.5000, 0.5000, 0.1676], [0.5000, 0.5000, 0.5000], [0.5000, 0.5000, 0.8324]], "dos_at_fermi_per_ev_atom": 0.655, "ef_ev_per_atom": -0.506, "total_magnetization_mub_per_atom": 0.0000}